# BaNa2Pb10, relaxed, DFT PBE-GGA
# size of the total moment: 0.00 μB per cell
# DFT formation energy: -3.00 kcal/mol of atoms
# electronic total energy: -3.333 eV per atom
# ρ: 8.76 g/cm3
# crystal system: orthorhombic
data_BaNa2Pb10
_cell_length_a 6.487
_cell_length_b 15.216
_cell_length_c 17.332
_cell_angle_alpha 90.00
_cell_angle_beta 90.00
_cell_angle_gamma 90.00
_space_group_name_H-M_alt 'F m m m'
_space_group_IT_number 69
_space_group_name_Hall '-F 2 2'
loop_
_atom_site_label
_atom_site_fract_x
_atom_site_fract_y
_atom_site_fract_z
Ba1 0.000 0.000 0.000
Na1 0.250 0.000 0.250
Pb1 0.000 0.112 0.382
Pb2 0.000 0.181 0.176
Pb3 0.250 0.250 0.000



# AlIn2B2, relaxed, DFT PBE-GGA
# size of the total moment: 0.00 μB per cell
# DFT formation energy: 14.92 kcal/mol of atoms
# energy above the most stable polymorph in this dataset: 0 meV/atom
# electronic total energy: -3.868 eV per atom
# ρ: 5.66 g/cm3
# crystal system: tetragonal
data_AlIn2B2
_cell_length_a 5.932
_cell_length_b 5.932
_cell_length_c 4.639
_cell_angle_alpha 90.00
_cell_angle_beta 90.00
_cell_angle_gamma 90.00
_space_group_name_H-M_alt 'P 4/m b m'
_space_group_IT_number 127
_space_group_name_Hall '-P 4 2ab'
loop_
_atom_site_label
_atom_site_fract_x
_atom_site_fract_y
_atom_site_fract_z
Al1 0.000 0.000 0.000
In1 0.188 0.312 0.500
B1 0.100 0.400 0.000



# Pm3SbN, relaxed, DFT PBE-GGA
# size of the total moment: 0.00 μB per cell
# energy above the most stable polymorph in this dataset: 1 meV/atom
# formation energy without anion corrections: -998 meV per atom
# electronic total energy: -6.338 eV per atom
# ρ: 7.81 g/cm3
# crystal system: cubic
data_Pm3SbN
_cell_length_a 4.950
_cell_length_b 4.950
_cell_length_c 4.950
_cell_angle_alpha 90.00
_cell_angle_beta 90.00
_cell_angle_gamma 90.00
_space_group_name_H-M_alt 'P m -3 m'
_space_group_IT_number 221
_space_group_name_Hall '-P 4 2 3'
loop_
_atom_site_label
_atom_site_fract_x
_atom_site_fract_y
_atom_site_fract_z
Pm1 0.000 0.000 0.500
Sb1 0.500 0.500 0.500
N1 0.000 0.000 0.000



# AcDy2Te, relaxed, DFT PBE-GGA
# size of the total moment: 0.00 μB per cell
# energy above the most stable polymorph in this dataset: 20 meV/atom
# formation energy without anion corrections: -530 meV per atom
# electronic total energy: -4.643 eV per atom
# ρ: 8.14 g/cm3
# crystal system: trigonal
data_AcDy2Te
_cell_length_a 3.9699
_cell_length_b 3.9699
_cell_length_c 30.4757
_cell_angle_alpha 90.00
_cell_angle_beta 90.00
_cell_angle_gamma 120.00
_space_group_name_H-M_alt 'R 3 m'
_space_group_IT_number 160
_space_group_name_Hall 'R 3 -2"'
loop_
_atom_site_label
_atom_site_fract_x
_atom_site_fract_y
_atom_site_fract_z
Ac1 0.0000 0.0000 0.0000
Dy1 0.0000 0.0000 0.5670
Dy2 0.0000 0.0000 0.7661
Te1 0.0000 0.0000 0.1666



What did the second record say?
# AlIn2B2, relaxed, DFT PBE-GGA
# size of the total moment: 0.00 μB per cell
# DFT formation energy: 14.92 kcal/mol of atoms
# energy above the most stable polymorph in this dataset: 0 meV/atom
# electronic total energy: -3.868 eV per atom
# ρ: 5.66 g/cm3
# crystal system: tetragonal
data_AlIn2B2
_cell_length_a 5.932
_cell_length_b 5.932
_cell_length_c 4.639
_cell_angle_alpha 90.00
_cell_angle_beta 90.00
_cell_angle_gamma 90.00
_space_group_name_H-M_alt 'P 4/m b m'
_space_group_IT_number 127
_space_group_name_Hall '-P 4 2ab'
loop_
_atom_site_label
_atom_site_fract_x
_atom_site_fract_y
_atom_site_fract_z
Al1 0.000 0.000 0.000
In1 0.188 0.312 0.500
B1 0.100 0.400 0.000



Question: Look up the ρ of the second one.
Answer: 5.66 g/cm3



Question: The highest ρ belongs to which entry?
Answer: BaNa2Pb10